A plane-wave DFT calculation with GGA-PBE was carried out for crystalline Li3YAu at its relaxed geometry.

Results
- energy relative to the lowest polymorph listed for this composition (eV per formula unit) = 7.13
- D(E_F) (states/eV per cell) = 5.74
- E_tot (eV per atom) = -1.947
- ΔE_f (eV per atom) = 1.15
- total magnetization (μB/f.u.) = 2.12

Lattice parameters (Å, degrees): 5.498 5.498 5.498 90.00 90.00 90.00
Site moments in Bohr magnetons follow the coordinates.
Positions (direct):
Y1 0.000 0.000 0.000  0.94
Au1 0.500 0.500 0.500  -0.01
Li1 0.000 0.500 0.000  0.04
Li2 0.000 0.000 0.500  0.04
Li3 0.500 0.000 0.000  0.05